The following is a DFT calculation (PBE) of a geometry-optimized RbLi2AgPb structure.

abc: 5.444 5.444 5.500
angles: 90.00 90.00 90.00
Atoms (fractional coordinates):
Pb: 0.000 0.000 0.000
Rb: 0.500 0.500 0.500
Ag: 0.000 0.000 0.500
Li: 0.000 0.500 0.000
Li: 0.500 0.000 0.000

Calculated values
As for the crystal system: tetragonal. The calculation puts the formation enthalpy at 0 K at -0.04 eV per atom.


The following is a DFT calculation (PBE) of a geometry-optimized Li2AgRhPb structure.

abc: 4.484 5.282 4.484
angles: 90.00 90.00 90.00
Atoms (fractional coordinates):
Pb: 0.000 0.500 0.000
Rh: 0.500 0.500 0.500
Ag: 0.000 0.000 0.000
Li: 0.000 0.000 0.500
Li: 0.500 0.000 0.000

Calculated values
As for the crystal system: tetragonal. The calculation puts the formation enthalpy at 0 K at 0.52 eV per atom.


The following is a DFT calculation (PBE) of a geometry-optimized Li2Ag2Sb2Pb structure.

abc: 4.721 4.721 8.724
angles: 74.30 74.30 60.00
Atoms (fractional coordinates):
Li: 0.137 0.137 0.588
Li: 0.863 0.863 0.412
Ag: 0.560 0.560 0.321
Ag: 0.440 0.440 0.679
Sb: 0.747 0.747 0.759
Sb: 0.253 0.253 0.241
Pb: 0.000 0.000 0.000

Calculated values
As for the crystal system: trigonal. Its formation energy (no corrections) is -245 meV per atom.


The following is a DFT calculation (PBE) of a geometry-optimized LiScAgPb structure.

abc: 4.878 4.878 4.878
angles: 60.00 60.00 60.00
Atoms (fractional coordinates):
Pb: 0.750 0.750 0.750
Sc: 0.000 0.000 0.000
Ag: 0.250 0.250 0.250
Li: 0.500 0.500 0.500

Calculated values
As for the crystal system: cubic. The calculation puts the formation enthalpy at 0 K at -0.32 eV per atom.


The following is a DFT calculation (PBE) of a geometry-optimized Li2ScAgPb structure.

abc: 5.225 5.067 5.225
angles: 90.00 90.00 90.00
Atoms (fractional coordinates):
Pb: 0.500 0.500 0.500
Sc: 0.000 0.000 0.000
Ag: 0.000 0.500 0.000
Li: 0.000 0.000 0.500
Li: 0.500 0.000 0.000

Calculated values
As for the crystal system: tetragonal. The calculation puts the formation enthalpy at 0 K at 0.74 eV per atom.


The following is a DFT calculation (PBE) of a geometry-optimized LiSmAgPb structure.

abc: 5.130 5.130 5.130
angles: 60.00 60.00 60.00
Atoms (fractional coordinates):
Pb: 0.000 0.000 0.000
Ag: 0.500 0.500 0.500
Sm: 0.750 0.750 0.750
Li: 0.250 0.250 0.250

Calculated values
As for the crystal system: cubic. The calculation puts the formation enthalpy at 0 K at -0.36 eV per atom.


The following is a DFT calculation (PBE) of a geometry-optimized Li2SmAg2Pb2 structure.

abc: 4.767 4.767 8.461
angles: 73.64 73.64 60.00
Atoms (fractional coordinates):
Li: 0.141 0.141 0.578
Li: 0.859 0.859 0.422
Sm: 0.000 0.000 0.000
Ag: 0.561 0.561 0.318
Ag: 0.439 0.439 0.682
Pb: 0.738 0.738 0.785
Pb: 0.262 0.262 0.215

Calculated values
As for the crystal system: trigonal. The calculation puts the formation enthalpy at 0 K at -0.28 eV per atom.


The following is a DFT calculation (PBE) of a geometry-optimized Li2Ag2Sn2Pb structure.

abc: 4.675 4.675 8.446
angles: 73.93 73.93 60.00
Atoms (fractional coordinates):
Li: 0.734 0.734 0.799
Li: 0.266 0.266 0.201
Ag: 0.596 0.596 0.211
Ag: 0.404 0.404 0.789
Sn: 0.134 0.134 0.597
Sn: 0.866 0.866 0.403
Pb: 0.000 0.000 0.000

Calculated values
As for the crystal system: trigonal. The calculation puts the formation enthalpy at 0 K at -0.12 eV per atom.


The following is a DFT calculation (PBE) of a geometry-optimized SrLi2Ag2Pb2 structure.

abc: 4.737 4.737 9.331
angles: 75.30 75.30 60.00
Atoms (fractional coordinates):
Sr: 0.000 0.000 0.000
Li: 0.142 0.142 0.573
Li: 0.858 0.858 0.427
Ag: 0.553 0.553 0.341
Ag: 0.447 0.447 0.659
Pb: 0.748 0.748 0.757
Pb: 0.252 0.252 0.243

Calculated values
As for the crystal system: trigonal. The calculation puts the formation enthalpy at 0 K at -0.27 eV per atom.


The following is a DFT calculation (PBE) of a geometry-optimized SrLi4AgPb2 structure.

abc: 4.815 4.815 9.429
angles: 75.21 75.21 60.00
Atoms (fractional coordinates):
Sr: 0.000 0.000 0.000
Li: 0.405 0.405 0.784
Li: 0.865 0.865 0.405
Li: 0.135 0.135 0.595
Li: 0.595 0.595 0.216
Ag: 0.500 0.500 0.500
Pb: 0.754 0.754 0.737
Pb: 0.246 0.246 0.263

Calculated values
As for the crystal system: trigonal. The calculation puts the formation enthalpy at 0 K at -0.29 eV per atom.


The following is a DFT calculation (PBE) of a geometry-optimized Sr2Li3Ag12Pb structure.

abc: 11.020 11.020 11.020
angles: 36.18 36.18 36.18
Atoms (fractional coordinates):
Sr: 0.638 0.638 0.638
Sr: 0.362 0.362 0.362
Li: 0.500 0.000 0.000
Li: 0.000 0.500 0.000
Li: 0.000 0.000 0.500
Ag: 0.407 0.407 0.811
Ag: 0.880 0.880 0.438
Ag: 0.438 0.880 0.880
Ag: 0.811 0.407 0.407
Ag: 0.880 0.438 0.880
Ag: 0.407 0.811 0.407
Ag: 0.593 0.593 0.189
Ag: 0.120 0.120 0.562
Ag: 0.562 0.120 0.120
Ag: 0.189 0.593 0.593
Ag: 0.120 0.562 0.120
Ag: 0.593 0.189 0.593
Pb: 0.000 0.000 0.000

Calculated values
As for the crystal system: trigonal. The calculation puts the formation enthalpy at 0 K at 0.00 eV per atom.


The following is a DFT calculation (PBE) of a geometry-optimized Sr2LiAg3Pb4 structure.

abc: 4.833 4.833 12.055
angles: 90.00 90.00 90.00
Atoms (fractional coordinates):
Sr: 0.500 0.000 0.260
Sr: 0.000 0.500 0.740
Li: 0.500 0.500 0.500
Ag: 0.000 0.000 0.500
Ag: 0.500 0.000 0.857
Ag: 0.000 0.500 0.143
Pb: 0.500 0.500 0.000
Pb: 0.000 0.000 0.000
Pb: 0.500 0.000 0.625
Pb: 0.000 0.500 0.375

Calculated values
As for the crystal system: tetragonal. The calculation puts the formation enthalpy at 0 K at -0.25 eV per atom.